Computed, not measured: Hf3MgBi2 after structural relaxation at the PBE level of DFT.

Computed properties:
Crystal system: monoclinic
DFT total energy: -6.589 eV/atom
Size of the total moment: 0.0 μB per formula unit
Energy of formation from the pure elements: -0.0529 eV/atom

Geometry as POSCAR:
```
Hf3MgBi2
1.0
8.945 -2.069 0.000
8.945 2.069 0.000
-5.836 0.000 8.841
Hf Mg Bi
6 2 4
direct
0.042 0.042 0.171 Hf
0.319 0.319 0.606 Hf
0.398 0.398 0.961 Hf
0.602 0.602 0.039 Hf
0.681 0.681 0.394 Hf
0.958 0.958 0.829 Hf
0.110 0.110 0.531 Mg
0.890 0.890 0.469 Mg
0.244 0.244 0.246 Bi
0.469 0.469 0.300 Bi
0.531 0.531 0.700 Bi
0.756 0.756 0.754 Bi
```

***

Computed, not measured: HfMg2Bi after structural relaxation at the PBE level of DFT.

Computed properties:
Crystal system: trigonal
DFT total energy: -3.883 eV/atom
Size of the total moment: 0.0 μB per formula unit
Energy of formation from the pure elements: 0.3732 eV/atom

Geometry as POSCAR:
```
HfMg2Bi
1.0
1.632 0.942 11.290
-1.632 0.942 11.290
0.000 -1.884 11.290
Hf Mg Bi
1 2 1
direct
0.000 0.000 0.000 Hf
0.087 0.087 0.087 Mg
0.913 0.913 0.913 Mg
0.500 0.500 0.500 Bi
```

***

Computed, not measured: HfMg14Bi after structural relaxation at the PBE level of DFT.

Computed properties:
Crystal system: orthorhombic
DFT total energy: -2.246 eV/atom
Size of the total moment: 0.0 μB per formula unit
Energy of formation from the pure elements: 0.0143 eV/atom

Geometry as POSCAR:
```
HfMg14Bi
1.0
10.494 0.000 0.000
0.000 3.143 5.602
0.000 -3.143 5.602
Hf Mg Bi
1 14 1
direct
0.000 0.000 0.000 Hf
0.000 0.003 0.499 Mg
0.000 0.499 0.003 Mg
0.248 0.162 0.162 Mg
0.252 0.158 0.671 Mg
0.252 0.671 0.158 Mg
0.256 0.669 0.669 Mg
0.500 0.003 0.003 Mg
0.500 0.004 0.501 Mg
0.500 0.501 0.004 Mg
0.500 0.502 0.502 Mg
0.744 0.669 0.669 Mg
0.748 0.158 0.671 Mg
0.748 0.671 0.158 Mg
0.752 0.162 0.162 Mg
0.000 0.503 0.503 Bi
```

***

Computed, not measured: HfMg14Bi after structural relaxation at the PBE level of DFT.

Computed properties:
Crystal system: hexagonal
DFT total energy: -2.245 eV/atom
Size of the total moment: 0.0 μB per formula unit
Energy of formation from the pure elements: 0.0147 eV/atom

Geometry as POSCAR:
```
HfMg14Bi
1.0
6.433 0.000 0.000
-3.217 5.571 0.000
0.000 0.000 10.341
Hf Mg Bi
1 14 1
direct
0.000 0.000 0.000 Hf
0.006 0.503 0.000 Mg
0.164 0.328 0.244 Mg
0.164 0.328 0.756 Mg
0.164 0.836 0.244 Mg
0.164 0.836 0.756 Mg
0.497 0.503 0.000 Mg
0.497 0.994 0.000 Mg
0.501 0.002 0.500 Mg
0.501 0.499 0.500 Mg
0.667 0.333 0.245 Mg
0.667 0.333 0.755 Mg
0.672 0.836 0.244 Mg
0.672 0.836 0.756 Mg
0.998 0.499 0.500 Mg
0.000 0.000 0.500 Bi
```

***

Computed, not measured: HfMgBi after structural relaxation at the PBE level of DFT.

Computed properties:
Distance to the lowest polymorph of the same formula: 71 meV per atom
Crystal system: trigonal
DFT total energy: -4.925 eV/atom
Size of the total moment: 0.0 μB per formula unit
Energy of formation from the pure elements: 0.2177 eV/atom

Geometry as POSCAR:
```
HfMgBi
1.0
5.134 0.000 0.000
-2.567 4.446 0.000
0.000 0.000 3.201
Hf Mg Bi
1 1 1
direct
0.000 0.000 0.000 Hf
0.333 0.667 0.546 Mg
0.667 0.333 0.349 Bi
```

***

Computed, not measured: HfMg2Bi2 after structural relaxation at the PBE level of DFT.

Computed properties:
Crystal system: tetragonal
DFT total energy: -4.005 eV/atom
Size of the total moment: 0.0 μB per formula unit
Energy of formation from the pure elements: 0.1762 eV/atom

Geometry as POSCAR:
```
HfMg2Bi2
1.0
-1.994 1.994 8.259
1.994 -1.994 8.259
1.994 1.994 -8.259
Hf Mg Bi
1 2 2
direct
0.000 0.000 0.000 Hf
0.250 0.750 0.500 Mg
0.750 0.250 0.500 Mg
0.403 0.403 0.000 Bi
0.597 0.597 0.000 Bi
```

***

Computed, not measured: HfMg2Bi after structural relaxation at the PBE level of DFT.

Computed properties:
Crystal system: tetragonal
DFT total energy: -3.942 eV/atom
Size of the total moment: 0.0 μB per formula unit
Energy of formation from the pure elements: 0.3137 eV/atom

Geometry as POSCAR:
```
HfMg2Bi
1.0
-4.200 4.200 2.921
4.200 -4.200 2.921
4.200 4.200 -2.921
Hf Mg Bi
2 4 2
direct
0.000 0.000 0.000 Hf
0.750 0.250 0.500 Hf
0.140 0.625 0.015 Mg
0.375 0.390 0.515 Mg
0.610 0.125 0.985 Mg
0.875 0.860 0.485 Mg
0.250 0.750 0.500 Bi
0.500 0.500 0.000 Bi
```

***

Computed, not measured: HfMgBi after structural relaxation at the PBE level of DFT.

Computed properties:
Distance to the lowest polymorph of the same formula: 0 meV per atom
Crystal system: orthorhombic
DFT total energy: -4.996 eV/atom
Size of the total moment: 0.0 μB per formula unit
Energy of formation from the pure elements: 0.1466 eV/atom

Geometry as POSCAR:
```
HfMgBi
1.0
16.405 0.000 0.000
0.000 5.589 0.000
0.000 0.000 3.250
Hf Mg Bi
4 4 4
direct
0.124 0.250 0.000 Hf
0.376 0.750 0.500 Hf
0.624 0.250 0.500 Hf
0.876 0.750 0.000 Hf
0.039 0.750 0.498 Mg
0.461 0.250 0.998 Mg
0.539 0.750 0.002 Mg
0.961 0.250 0.502 Mg
0.200 0.750 0.997 Bi
0.300 0.250 0.497 Bi
0.700 0.750 0.503 Bi
0.800 0.250 0.003 Bi
```

***

Computed, not measured: HfMg2Bi2 after structural relaxation at the PBE level of DFT.

Computed properties:
Crystal system: tetragonal
DFT total energy: -4.142 eV/atom
Size of the total moment: 0.0 μB per formula unit
Energy of formation from the pure elements: 0.0387 eV/atom

Geometry as POSCAR:
```
HfMg2Bi2
1.0
7.850 0.000 0.000
0.000 7.850 0.000
0.000 0.000 4.232
Hf Mg Bi
2 4 4
direct
0.000 0.000 0.000 Hf
0.500 0.500 0.000 Hf
0.153 0.347 0.500 Mg
0.347 0.847 0.500 Mg
0.653 0.153 0.500 Mg
0.847 0.653 0.500 Mg
0.156 0.656 0.000 Bi
0.344 0.156 0.000 Bi
0.656 0.844 0.000 Bi
0.844 0.344 0.000 Bi
```

***

Computed, not measured: NaHfMg2Bi after structural relaxation at the PBE level of DFT.

Computed properties:
Crystal system: tetragonal
DFT total energy: -2.935 eV/atom
Size of the total moment: 0.0 μB per formula unit
Energy of formation from the pure elements: 0.7334 eV/atom

Geometry as POSCAR:
```
NaHfMg2Bi
1.0
5.590 0.000 0.000
0.000 5.590 0.000
0.000 0.000 5.561
Na Hf Mg Bi
1 1 2 1
direct
0.000 0.000 0.000 Na
0.500 0.500 0.000 Hf
0.000 0.500 0.500 Mg
0.500 0.000 0.500 Mg
0.500 0.500 0.500 Bi
```

***

Computed, not measured: HfMgBiO6 after structural relaxation at the PBE level of DFT.

Computed properties:
Crystal system: tetragonal
Raw formation energy: -1.9610 eV/atom
DFT total energy: -6.981 eV/atom
Size of the total moment: 0.9 μB per formula unit

Geometry as POSCAR:
```
HfMgBiO6
1.0
4.913 0.000 0.000
0.000 4.913 0.000
0.000 0.000 9.750
Hf Mg Bi O
2 2 2 12
direct
0.000 0.000 0.000 Hf
0.500 0.500 0.500 Hf
0.000 0.000 0.328 Mg
0.500 0.500 0.828 Mg
0.000 0.000 0.661 Bi
0.500 0.500 0.161 Bi
0.193 0.193 0.159 O
0.196 0.196 0.833 O
0.199 0.199 0.493 O
0.301 0.699 0.993 O
0.304 0.696 0.333 O
0.307 0.693 0.659 O
0.693 0.307 0.659 O
0.696 0.304 0.333 O
0.699 0.301 0.993 O
0.801 0.801 0.493 O
0.804 0.804 0.833 O
0.807 0.807 0.159 O
```

***

Computed, not measured: HfMgReBi2 after structural relaxation at the PBE level of DFT.

Computed properties:
Crystal system: tetragonal
DFT total energy: -4.730 eV/atom
Size of the total moment: 4.8 μB per formula unit
Energy of formation from the pure elements: 1.6220 eV/atom

Geometry as POSCAR:
```
HfMgReBi2
1.0
5.558 0.000 0.000
0.000 5.558 0.000
0.000 0.000 5.582
Hf Mg Re Bi
1 1 1 2
direct
0.000 0.000 0.000 Hf
0.000 0.000 0.500 Mg
0.500 0.500 0.500 Re
0.000 0.500 0.000 Bi
0.500 0.000 0.000 Bi
```